VASP calculation (PBE with a Hubbard U) on BaWIO2 after structural relaxation.

Calculated values
* relative energy among the computed polymorphs: 0.000 eV/f.u.

Cell lengths 4.375, 4.375, 5.836 Å; angles 90.00, 90.00, 90.00 degrees
Space group P4/mmm (No. 123)
Symmetry-distinct sites (fractional):
1 Ba 0.000 0.000 0.000 [1 per cell]
2 W 0.500 0.500 0.500 [1 per cell]
3 I 0.500 0.500 0.000 [1 per cell]
4 O 0.000 0.500 0.500 [2 per cell]